Fe3Ir | PBE | optimized geometry

```
data_Fe3Ir
_chemical_formula_sum 'Fe3 Ir1'
_cell_length_a 4.1711
_cell_length_b 4.1711
_cell_length_c 4.1711
_cell_angle_alpha 60.00
_cell_angle_beta 60.00
_cell_angle_gamma 60.00
_symmetry_space_group_name_H-M 'P 1'
_symmetry_Int_Tables_number 1
_symmetry_space_group_name_Hall 'P 1'
loop_
_atom_site_label
_atom_site_fract_x
_atom_site_fract_y
_atom_site_fract_z
Ir1 0.7500 0.7500 0.7500
Fe1 0.0000 0.0000 0.0000
Fe2 0.2500 0.2500 0.2500
Fe3 0.5000 0.5000 0.5000
```

Summary:
Fermi-level density of states	2.2	states/eV/cell
energy of formation from the pure elements	-26	meV/atom